The following is a meta-GGA SCAN calculation of a crystal of GePtS2 relaxed with PBEsol, from Alexandria.

Cell and atoms, written as extended XYZ:
```
4
Lattice="3.4589 0.0000 0.0000 1.7295 2.9955 0.0000 1.7295 0.9985 7.8255" Properties=species:S:1:pos:R:3 pbc="T T T"
S 5.1884 2.9955 2.6258
S 1.7295 0.9985 5.1997
Pt 3.4589 1.9970 3.9127
Ge 0.0000 0.0000 0.0000
```

Magnetization (μB per atom): 0.000
Raw formation energy (kJ per mole of atoms): -6
Crystal system: trigonal
Density of states at the Fermi level (states/eV/f.u.): 1.77

The following is a meta-GGA SCAN calculation of a crystal of ScGePt relaxed with PBEsol, from Alexandria.

Cell and atoms, written as extended XYZ:
```
12
Lattice="-3.3011 -0.3564 2.5997 -4.0361 -0.2045 -5.1531 0.6340 -7.3624 -0.2043" Properties=species:S:1:pos:R:3 pbc="T T T"
Sc -4.6711 -2.4709 -4.5601
Sc -2.7111 -1.6950 -1.9648
Sc -2.0321 -5.4524 1.8023
Sc -3.9921 -6.2283 -0.7929
Pt -5.6326 -1.0394 -2.1646
Pt -3.4026 -3.3994 0.3436
Pt -1.0705 -6.8839 -0.5931
Pt -3.3006 -4.5239 -3.1013
Ge -3.2141 -0.9851 0.9138
Ge -3.4891 -6.9382 -3.6716
Ge -5.0319 -3.4137 -1.7273
Ge -1.6713 -4.5096 -1.0305
```

Magnetization (μB per atom): 0.000
ΔE_f (eV/atom): -1.325
Crystal system: orthorhombic
Density of states at the Fermi level (states/eV/f.u.): 1.00

The following is a meta-GGA SCAN calculation of a crystal of ScGe2Pt relaxed with PBEsol, from Alexandria.

Cell and atoms, written as extended XYZ:
```
4
Lattice="4.5358 0.0000 0.0000 2.2679 3.9281 0.0000 2.2679 1.3094 3.7035" Properties=species:S:1:pos:R:3 pbc="T T T"
Ge 2.2679 1.3094 0.9259
Ge 6.8038 3.9281 2.7776
Pt 4.5358 2.6188 1.8517
Sc 0.0000 0.0000 0.0000
```

Magnetization (μB per atom): 0.000
ΔE_f (eV/atom): -0.490
Crystal system: cubic
Density of states at the Fermi level (states/eV/f.u.): 3.24

The following is a meta-GGA SCAN calculation of a crystal of Si2GePt relaxed with PBEsol, from Alexandria.

Cell and atoms, written as extended XYZ:
```
8
Lattice="-0.8554 2.8839 -4.6915 4.2527 -2.6704 -2.4170 -4.9849 -3.8177 1.8722" Properties=species:S:1:pos:R:3 pbc="T T T"
Ge -2.0708 -0.4136 -3.1867
Ge 1.6986 0.1067 -3.5542
Si -0.4117 0.6071 -4.6076
Si 2.1658 -2.2492 -3.3417
Si -3.3723 -2.8000 0.5488
Si -1.5571 -2.7665 -3.0717
Pt 0.4832 -3.1907 -2.0495
Pt 0.0000 0.0000 0.0000
```

Magnetization (μB per atom): 0.000
Raw formation energy (kJ per mole of atoms): -11
Crystal system: tetragonal
Density of states at the Fermi level (states/eV/f.u.): 1.88

The following is a meta-GGA SCAN calculation of a crystal of Sm2Ge3Pt relaxed with PBEsol, from Alexandria.

Cell and atoms, written as extended XYZ:
```
6
Lattice="-3.8441 1.1515 0.1147 -1.1180 -3.4993 -2.3373 -0.9397 -3.7395 6.0480" Properties=species:S:1:pos:R:3 pbc="T T T"
Ge -2.0851 -0.0733 1.1071
Ge -2.7031 -2.5326 5.0846
Ge -3.1061 -3.6615 2.9120
Pt -2.7896 -2.4019 0.8748
Sm -0.4690 -1.8664 3.0186
Sm -0.5613 -1.7589 -1.1536
```

Magnetization (μB per atom): 0.000
ΔE_f (eV/atom): -1.032
Crystal system: orthorhombic
Density of states at the Fermi level (states/eV/f.u.): 2.13

The following is a meta-GGA SCAN calculation of a crystal of SmGePt relaxed with PBEsol, from Alexandria.

Cell and atoms, written as extended XYZ:
```
24
Lattice="4.3943 0.0000 0.0000 0.0000 7.5408 0.0000 0.0000 0.0000 14.1915" Properties=species:S:1:pos:R:3 pbc="T T T"
Pt 0.0000 4.3962 4.9277
Pt 0.0000 4.3962 9.2639
Pt 2.1972 3.1445 12.0234
Pt 2.1972 0.5987 5.5726
Pt 2.1972 0.5987 8.6189
Pt 2.1972 3.1445 2.1681
Pt 0.0000 6.9420 12.6684
Pt 0.0000 6.9420 1.5231
Ge 2.1972 0.6752 12.8406
Ge 0.0000 6.8655 5.7449
Ge 2.1972 0.6752 1.3509
Ge 0.0000 4.4488 2.1344
Ge 0.0000 4.4488 12.0571
Ge 2.1972 3.0920 4.9613
Ge 2.1972 3.0920 9.2302
Ge 0.0000 6.8655 8.4467
Sm 0.0000 2.2088 7.0958
Sm 2.1972 5.3037 7.0958
Sm 2.1972 5.9782 10.6100
Sm 0.0000 1.5625 10.6773
Sm 2.1972 5.9782 3.5815
Sm 0.0000 2.2371 0.0000
Sm 2.1972 5.3320 0.0000
Sm 0.0000 1.5625 3.5142
```

Magnetization (μB per atom): 0.000
ΔE_f (eV/atom): -1.336
Crystal system: orthorhombic
Density of states at the Fermi level (states/eV/f.u.): 0.92

The following is a meta-GGA SCAN calculation of a crystal of SmGePt relaxed with PBEsol, from Alexandria.

Cell and atoms, written as extended XYZ:
```
12
Lattice="4.3752 0.0000 0.0000 0.0000 7.0940 0.0000 0.0000 0.0000 7.5840" Properties=species:S:1:pos:R:3 pbc="T T T"
Ge 3.2814 2.2220 3.1306
Ge 3.2814 5.7690 0.6614
Ge 1.0938 4.8720 4.4534
Ge 1.0938 1.3250 6.9227
Pt 3.2814 1.4325 0.6463
Pt 3.2814 4.9795 3.1457
Pt 1.0938 2.1145 4.4383
Pt 1.0938 5.6615 6.9377
Sm 1.0938 0.0259 2.2628
Sm 3.2814 3.5211 6.0548
Sm 3.2814 7.0681 5.3212
Sm 1.0938 3.5729 1.5292
```

Magnetization (μB per atom): 0.000
ΔE_f (eV/atom): -1.329
Crystal system: orthorhombic
Density of states at the Fermi level (states/eV/f.u.): 1.47

The following is a meta-GGA SCAN calculation of a crystal of SmGe2Pt relaxed with PBEsol, from Alexandria.

Cell and atoms, written as extended XYZ:
```
16
Lattice="4.3582 0.0000 0.0000 0.0000 8.7137 0.0000 -2.1791 -4.3569 8.1465" Properties=species:S:1:pos:R:3 pbc="T T T"
Sm 0.0000 2.0800 0.0000
Sm 0.0000 0.0000 3.3016
Sm 2.1791 4.3569 4.8448
Sm 0.0000 6.6338 0.0000
Ge 0.0000 3.0459 3.2326
Ge 2.1791 -1.3109 4.9138
Ge 2.1791 0.0000 1.2135
Ge 2.1791 1.3109 4.9138
Ge 0.0000 4.3569 6.9330
Ge 2.1791 4.3569 1.2174
Ge 0.0000 5.6678 3.2326
Ge 0.0000 0.0000 6.9291
Pt 2.1791 6.5245 2.4271
Pt 0.0000 -2.1676 5.7193
Pt 0.0000 2.1676 5.7193
Pt 2.1791 2.1892 2.4271
```

Magnetization (μB per atom): 0.000
ΔE_f (eV/atom): -1.087
Crystal system: orthorhombic
Density of states at the Fermi level (states/eV/f.u.): 1.11

The following is a meta-GGA SCAN calculation of a crystal of Sn2GePt relaxed with PBEsol, from Alexandria.

Cell and atoms, written as extended XYZ:
```
4
Lattice="4.8549 0.0000 0.0000 2.4274 4.2045 0.0000 2.4274 1.4015 3.9640" Properties=species:S:1:pos:R:3 pbc="T T T"
Ge 0.0000 0.0000 0.0000
Sn 2.4274 1.4015 0.9910
Sn 7.2823 4.2045 2.9730
Pt 4.8549 2.8030 1.9820
```

Magnetization (μB per atom): 0.000
ΔE_f (eV/atom): 0.184
Crystal system: cubic
Density of states at the Fermi level (states/eV/f.u.): 2.38

The following is a meta-GGA SCAN calculation of a crystal of Ta3GePt relaxed with PBEsol, from Alexandria.

Cell and atoms, written as extended XYZ:
```
5
Lattice="4.6076 0.0000 0.0000 0.0000 4.6076 0.0000 0.0000 0.0000 4.6076" Properties=species:S:1:pos:R:3 pbc="T T T"
Ge 0.0000 0.0000 0.0000
Ta 2.3038 0.0000 0.0000
Ta 0.0000 2.3038 0.0000
Ta 0.0000 0.0000 2.3038
Pt 2.3038 2.3038 2.3038
```

Magnetization (μB per atom): 0.000
ΔE_f (eV/atom): 1.011
Crystal system: cubic
Density of states at the Fermi level (states/eV/f.u.): 3.51

The following is a meta-GGA SCAN calculation of a crystal of YTa2GePt relaxed with PBEsol, from Alexandria.

Cell and atoms, written as extended XYZ:
```
5
Lattice="-1.5082 3.3675 -2.8807 -3.4276 1.0425 3.0130 3.0237 3.3154 2.2926" Properties=species:S:1:pos:R:3 pbc="T T T"
Ge 0.0000 0.0000 0.0000
Pt -0.9560 3.8627 1.2125
Y 1.5119 1.6577 1.1463
Ta -0.7541 1.6838 -1.4404
Ta -1.7138 0.5212 1.5065
```

Magnetization (μB per atom): 0.000
ΔE_f (eV/atom): 0.742
Crystal system: tetragonal
Density of states at the Fermi level (states/eV/f.u.): 4.54

The following is a meta-GGA SCAN calculation of a crystal of Tc3GePt relaxed with PBEsol, from Alexandria.

Cell and atoms, written as extended XYZ:
```
5
Lattice="-1.0385 -3.5994 2.7853 2.7443 -2.7743 -2.5620 3.6307 1.0675 2.7332" Properties=species:S:1:pos:R:3 pbc="T T T"
Tc 1.3722 -1.3872 -1.2810
Tc 1.8154 0.5338 1.3666
Tc -0.5192 -1.7997 1.3927
Ge 2.6683 -2.6531 1.4783
Pt 0.0000 0.0000 0.0000
```

Magnetization (μB per atom): 0.920
ΔE_f (eV/atom): 1.911
Crystal system: cubic
Density of states at the Fermi level (states/eV/f.u.): 5.89

The following is a meta-GGA SCAN calculation of a crystal of Ge2TePt2 relaxed with PBEsol, from Alexandria.

Cell and atoms, written as extended XYZ:
```
5
Lattice="-0.2127 -3.6128 -1.7229 -0.4984 -1.6880 3.6011 -5.4223 3.2401 -1.4623" Properties=species:S:1:pos:R:3 pbc="T T T"
Te 0.0000 0.0000 0.0000
Pt -1.7111 -2.5120 0.8164
Pt -4.4223 0.4514 -0.4004
Ge -3.1381 -0.5491 1.5390
Ge -2.9953 -1.5115 -1.1230
```

Magnetization (μB per atom): 0.000
Raw formation energy (kJ per mole of atoms): -21
Crystal system: tetragonal
Density of states at the Fermi level (states/eV/f.u.): 2.57

The following is a meta-GGA SCAN calculation of a crystal of GeTe2Pt relaxed with PBEsol, from Alexandria.

Cell and atoms, written as extended XYZ:
```
4
Lattice="-2.2017 0.9734 3.0195 -1.5359 -2.7488 2.2356 5.7800 -0.4010 6.8132" Properties=species:S:1:pos:R:3 pbc="T T T"
Pt 1.0212 -1.0882 6.0341
Ge 0.0000 0.0000 0.0000
Te -1.4054 -1.7120 6.9352
Te 3.4478 -0.4644 5.1330
```

Magnetization (μB per atom): 0.000
Raw formation energy (kJ per mole of atoms): 3
Crystal system: trigonal
Density of states at the Fermi level (states/eV/f.u.): 1.48

The following is a meta-GGA SCAN calculation of a crystal of TiGePt3 relaxed with PBEsol, from Alexandria.

Cell and atoms, written as extended XYZ:
```
5
Lattice="4.5636 0.0000 0.0000 0.0000 4.5636 0.0000 0.0000 0.0000 4.5636" Properties=species:S:1:pos:R:3 pbc="T T T"
Pt 0.0000 2.2818 0.0000
Pt 2.2818 0.0000 0.0000
Pt 0.0000 0.0000 2.2818
Ti 2.2818 2.2818 2.2818
Ge 0.0000 0.0000 0.0000
```

Magnetization (μB per atom): 0.363
ΔE_f (eV/atom): 0.265
Crystal system: cubic
Density of states at the Fermi level (states/eV/f.u.): 3.87

The following is a meta-GGA SCAN calculation of a crystal of TmGePt relaxed with PBEsol, from Alexandria.

Cell and atoms, written as extended XYZ:
```
12
Lattice="4.3040 0.0000 0.0000 0.0000 6.8345 0.0000 0.0000 0.0000 7.4786" Properties=species:S:1:pos:R:3 pbc="T T T"
Tm 1.0760 6.8142 5.2593
Tm 3.2280 3.4376 1.5200
Tm 1.0760 3.3969 5.9586
Tm 3.2280 0.0203 2.2193
Ge 3.2280 1.2980 6.8143
Ge 1.0760 5.5365 0.6643
Ge 3.2280 4.7153 4.4036
Ge 1.0760 2.1192 3.0750
Pt 3.2280 5.4298 6.8504
Pt 3.2280 2.0125 4.3675
Pt 1.0760 4.8219 3.1111
Pt 1.0760 1.4047 0.6282
```

Magnetization (μB per atom): 0.000
ΔE_f (eV/atom): -1.379
Crystal system: orthorhombic
Density of states at the Fermi level (states/eV/f.u.): 1.08

The following is a meta-GGA SCAN calculation of a crystal of Tm2Ge3Pt9 relaxed with PBEsol, from Alexandria.

Cell and atoms, written as extended XYZ:
```
28
Lattice="-7.2476 -1.6626 1.9487 -1.3681 -4.8095 5.8384 -2.9521 4.6808 8.2494" Properties=species:S:1:pos:R:3 pbc="T T T"
Ge -7.9132 -0.7386 7.8454
Ge -0.6840 -2.4048 2.9192
Ge -5.0999 1.5091 5.0990
Ge -3.6547 -1.0528 8.1911
Ge -7.8309 2.7328 10.5295
Ge -3.7370 -4.5241 5.5070
Pt -6.0438 1.2079 11.3678
Pt -7.7878 -1.7492 5.6399
Pt -2.8823 -3.2239 7.3872
Pt -8.3853 -5.0839 7.2019
Pt -3.1545 1.0136 6.8527
Pt -5.6442 -1.3462 12.1593
Pt -8.9191 -0.9838 13.9504
Pt -5.5307 -0.6171 6.6060
Pt -8.4134 -2.8049 9.1838
Pt -2.7503 1.5108 4.0195
Pt -5.9237 -0.4451 3.8772
Pt -3.1826 3.2926 8.8347
Pt -8.8176 -3.3022 12.0170
Pt -5.5241 -2.9993 4.6687
Pt -2.6487 -0.8075 2.0861
Pt -6.0372 -1.1743 9.4305
Pt -3.7800 -0.0421 10.3966
Pt -8.6855 1.4325 8.6493
Tm -3.0981 -1.2382 4.9874
Tm -5.9913 -3.4300 7.5875
Tm -8.4698 -0.5531 11.0491
Tm -5.5765 1.6387 8.4490
```

Magnetization (μB per atom): 0.000
ΔE_f (eV/atom): -0.910
Crystal system: monoclinic
Density of states at the Fermi level (states/eV/f.u.): 4.40

The following is a meta-GGA SCAN calculation of a crystal of Ge2PtW relaxed with PBEsol, from Alexandria.

Cell and atoms, written as extended XYZ:
```
4
Lattice="-3.9259 -1.2299 -1.5145 -0.5527 -0.7808 -4.2783 -0.6156 -4.1024 -1.4179" Properties=species:S:1:pos:R:3 pbc="T T T"
W 0.0000 0.0000 0.0000
Ge -3.8206 -4.5848 -5.4080
Ge -1.2735 -1.5283 -1.8027
Pt -2.5471 -3.0565 -3.6053
```

Magnetization (μB per atom): 0.000
ΔE_f (eV/atom): 0.187
Crystal system: cubic
Density of states at the Fermi level (states/eV/f.u.): 1.04

The following is a meta-GGA SCAN calculation of a crystal of YGe3Pt relaxed with PBEsol, from Alexandria.

Cell and atoms, written as extended XYZ:
```
5
Lattice="-0.3574 4.9467 1.3840 -4.8901 0.0970 -1.6095 -1.5723 -1.4261 4.6912" Properties=species:S:1:pos:R:3 pbc="T T T"
Pt -3.4099 1.8088 2.2328
Y 0.0000 0.0000 0.0000
Ge -0.1787 2.4734 0.6920
Ge -0.7862 -0.7130 2.3456
Ge -2.4450 0.0485 -0.8048
```

Magnetization (μB per atom): 0.000
ΔE_f (eV/atom): 1.391
Crystal system: cubic
Density of states at the Fermi level (states/eV/f.u.): 2.88

The following is a meta-GGA SCAN calculation of a crystal of YGePt relaxed with PBEsol, from Alexandria.

Cell and atoms, written as extended XYZ:
```
12
Lattice="4.3335 0.0000 0.0000 0.0000 6.9462 0.0000 0.0000 0.0000 7.5253" Properties=species:S:1:pos:R:3 pbc="T T T"
Ge 1.0834 2.1587 6.8598
Ge 3.2501 4.7875 0.6655
Ge 3.2501 1.3144 3.0971
Ge 1.0834 5.6318 4.4282
Y 3.2501 3.4922 5.2909
Y 1.0834 6.9270 1.5283
Y 1.0834 3.4539 2.2344
Y 3.2501 0.0192 5.9970
Pt 1.0834 4.8846 6.8915
Pt 3.2501 2.0615 0.6338
Pt 3.2501 5.5346 3.1289
Pt 1.0834 1.4115 4.3964
```

Magnetization (μB per atom): 0.000
ΔE_f (eV/atom): -1.401
Crystal system: orthorhombic
Density of states at the Fermi level (states/eV/f.u.): 1.16

The following is a meta-GGA SCAN calculation of a crystal of Y3Ge6Pt4 relaxed with PBEsol, from Alexandria.

Cell and atoms, written as extended XYZ:
```
26
Lattice="4.3060 0.0000 0.0000 0.0000 8.6872 -0.0042 0.0000 -2.1748 12.9574" Properties=species:S:1:pos:R:3 pbc="T T T"
Pt 1.0765 3.2360 4.8680
Pt 3.2295 -1.1040 8.0956
Pt 3.2295 1.1201 11.6515
Pt 1.0765 5.3923 1.3018
Pt 3.2295 5.3914 11.7883
Pt 1.0765 7.6164 4.8576
Pt 1.0765 1.1210 1.1649
Pt 3.2295 3.2764 8.0852
Ge 3.2295 4.1503 5.5982
Ge 3.2295 6.7097 5.6036
Ge 3.2295 -1.0597 12.8744
Ge 3.2295 1.0851 9.2577
Ge 1.0765 -0.1973 7.3496
Ge 3.2295 5.4015 0.0301
Ge 1.0765 5.4273 3.6956
Ge 3.2295 5.4283 9.3536
Ge 1.0765 1.0841 3.5996
Ge 1.0765 2.3621 7.3550
Ge 1.0765 1.1109 12.9231
Ge 1.0765 7.5721 0.0788
Y 1.0765 -1.2012 10.5539
Y 3.2295 1.0828 5.6835
Y 3.2295 7.7136 2.3993
Y 1.0765 5.4296 7.2697
Y 3.2295 3.1526 2.4274
Y 1.0765 3.3598 10.5258
```

Magnetization (μB per atom): 0.000
ΔE_f (eV/atom): -1.113
Crystal system: monoclinic
Density of states at the Fermi level (states/eV/f.u.): 4.21

The following is a meta-GGA SCAN calculation of a crystal of YGe2Pt relaxed with PBEsol, from Alexandria.

Cell and atoms, written as extended XYZ:
```
16
Lattice="-0.2236 2.0924 3.7425 5.9270 -5.3643 3.3532 3.0620 6.6414 -5.9932" Properties=species:S:1:pos:R:3 pbc="T T T"
Y 4.2474 -2.8991 4.3375
Y 3.5294 2.9874 -1.4594
Y 5.2360 0.3822 2.5620
Y 1.4560 -0.3728 2.7582
Ge 1.3659 3.8550 0.3891
Ge 7.3995 -0.4854 0.7134
Ge 4.9239 5.3085 -0.2110
Ge 3.8415 -1.9390 1.3135
Ge 7.8892 2.6279 1.4648
Ge 3.1450 2.2448 1.3957
Ge 0.8762 0.7416 -0.3623
Ge 5.6204 1.1248 -0.2931
Pt 3.2303 0.1451 0.1118
Pt 5.5351 3.2245 0.9907
Pt 6.2008 -2.5434 1.7924
Pt 2.5646 5.9130 -0.6899
```

Magnetization (μB per atom): 0.000
ΔE_f (eV/atom): -1.082
Crystal system: orthorhombic
Density of states at the Fermi level (states/eV/f.u.): 1.04